1.
{
  "formula": "NaSb3Pt",
  "functional": "GGA-PBE",
  "state": "relaxed",
  "lattice": [[5.378, 0.000, 0.000], [0.000, 5.378, 0.000], [0.000, 0.000, 5.378]],
  "species": ["Na", "Sb", "Sb", "Sb", "Pt"],
  "fractional_positions": [[0.000, 0.000, 0.000], [0.000, 0.500, 0.500], [0.500, 0.000, 0.500], [0.500, 0.500, 0.000], [0.500, 0.500, 0.500]],
  "e_form_raw_ev_per_atom": 0.15,
  "e_above_lowest_polymorph_ev_per_atom": 0.453,
  "magmom_total_mub_per_fu": 0.0,
  "e_tot_ev_per_atom": -3.799,
  "spacegroup": "Pm-3m"
}

***

2.
{
  "formula": "FeSn3Pd",
  "functional": "GGA-PBE",
  "state": "relaxed",
  "lattice": [[4.844, 0.000, 0.000], [0.000, 4.844, 0.000], [0.000, 0.000, 4.844]],
  "species": ["Fe", "Sn", "Sn", "Sn", "Pd"],
  "fractional_positions": [[0.000, 0.000, 0.000], [0.000, 0.000, 0.500], [0.000, 0.500, 0.000], [0.500, 0.000, 0.000], [0.500, 0.500, 0.500]],
  "e_above_lowest_polymorph_ev_per_atom": 0.000,
  "magmom_total_mub_per_fu": 0.0,
  "e_tot_ev_per_atom": -4.933,
  "spacegroup": "Pm-3m"
}